{
  "formula": "Pu2SbTe",
  "functional": "PBE-GGA",
  "state": "relaxed",
  "e_form_raw_ev_per_atom": -0.867,
  "spacegroup": "R-3m",
  "e_tot_ev_per_atom": -9.85,
  "polymorph_energy_mev_per_atom": 4,
  "lattice_angstrom": [[4.451, 0.000, 0.000], [2.226, 3.855, 0.000], [2.226, 1.285, 7.232]],
  "species": ["Sb", "Te", "Pu", "Pu"],
  "frac_coords": [[0.000, 0.000, 0.000], [0.500, 0.500, 0.500], [0.748, 0.748, 0.755], [0.252, 0.252, 0.245]]
}

***

{
  "formula": "PtBr3",
  "functional": "PBE-GGA",
  "state": "relaxed",
  "e_form_raw_ev_per_atom": 0.541,
  "spacegroup": "P4/mmm",
  "e_tot_ev_per_atom": -2.22,
  "lattice_angstrom": [[3.229, 0.000, 0.000], [0.000, 3.229, 0.000], [0.000, 0.000, 10.625]],
  "species": ["Br", "Br", "Br", "Pt"],
  "frac_coords": [[0.000, 0.000, 0.909], [0.500, 0.500, 0.250], [0.000, 0.000, 0.591], [0.500, 0.500, 0.750]]
}

***

{
  "formula": "CaAsBr",
  "functional": "PBE-GGA",
  "state": "relaxed",
  "e_form_raw_ev_per_atom": -0.843,
  "spacegroup": "I4mm",
  "e_tot_ev_per_atom": -3.62,
  "polymorph_energy_mev_per_atom": 443,
  "lattice_angstrom": [[8.143, 0.041, -0.043], [7.411, 3.377, -0.036], [0.732, 0.158, 3.332]],
  "species": ["As", "Ca", "Br"],
  "frac_coords": [[0.038, 0.038, 0.962], [0.677, 0.677, 0.323], [0.285, 0.285, 0.715]]
}

***

{
  "formula": "TiTc2Ge4",
  "functional": "PBE-GGA",
  "state": "relaxed",
  "formation_energy_ev_per_atom": 0.051,
  "spacegroup": "I4/mmm",
  "e_tot_ev_per_atom": -6.68,
  "polymorph_energy_mev_per_atom": 0,
  "lattice_angstrom": [[6.372, 0.000, 0.000], [3.186, 4.259, 0.000], [3.186, 0.000, 4.259]],
  "species": ["Ti", "Tc", "Tc", "Ge", "Ge", "Ge", "Ge"],
  "frac_coords": [[0.000, 0.000, 0.000], [0.000, 0.500, 0.500], [0.500, 0.500, 0.500], [0.500, 0.500, 0.000], [0.000, 0.000, 0.500], [0.500, 0.000, 0.500], [0.000, 0.500, 0.000]]
}